No. 1
DFT (PBE) results for a relaxed structure of NaLuAgAu.

## Properties
**Crystal system**: cubic
**Density of states at the Fermi level**: 2.66 states/eV/f.u.
**Formation enthalpy at 0 K**: -33 kJ/mol of atoms

a b c (Å): 7.0032 7.0032 7.0032
angles (deg): 90.00 90.00 90.00
With the nearest neighbours (Å) after each atom.
Space group F-43m (No. 216)
Asymmetric unit:
Na1 0.0000 0.0000 0.0000 [4 per cell]  4 Ag 3.03, 4 Au 3.03
Lu1 0.0000 0.0000 0.5000 [4 per cell]  4 Au 3.03, 4 Ag 3.03
Ag1 0.2500 0.2500 0.7500 [4 per cell]  4 Lu 3.03, 4 Na 3.03
Au1 0.2500 0.2500 0.2500 [4 per cell]  4 Na 3.03, 4 Lu 3.03


No. 2
DFT (PBE) results for a relaxed structure of SmGePd.

## Properties
**Crystal system**: orthorhombic
**Density of states at the Fermi level**: 1.32 states/eV/f.u.
**Formation enthalpy at 0 K**: -93 kJ/mol of atoms

a b c (Å): 4.4541 21.6203 7.6943
angles (deg): 90.00 90.00 90.00
With the nearest neighbours (Å) after each atom.
Space group Imm2 (No. 44)
Asymmetric unit:
Sm1 0.0000 0.0000 0.0000 [2 per cell]  6 Ge 3.05-3.06, 6 Pd 3.27-3.31
Sm2 0.0000 0.1659 0.9141 [4 per cell]  6 Pd 3.01-3.27, 6 Ge 3.07-3.31
Sm3 0.0000 0.3321 0.9934 [4 per cell]  6 Pd 3.09-3.21, 6 Ge 3.13-3.25
Sm4 0.0000 0.5000 0.9147 [2 per cell]  6 Ge 3.16-3.24, 6 Pd 3.17-3.18
Ge1 0.0000 0.0948 0.2952 [4 per cell]  3 Pd 2.59-2.60
Ge2 0.0000 0.2666 0.6137 [4 per cell]  4 Pd 2.59-2.79
Ge3 0.0000 0.4363 0.2954 [4 per cell]  3 Pd 2.59-2.67, 1 Ge 2.75
Pd1 0.0000 0.0719 0.6261 [4 per cell]  3 Ge 2.59
Pd2 0.0000 0.2336 0.2853 [4 per cell]  3 Ge 2.59-2.63
Pd3 0.0000 0.3957 0.6233 [4 per cell]  4 Ge 2.60-2.79


Number 1: M_tot 0.00 μB/f.u., energy -13.32 eV per formula unit. Number 2: M_tot 0.00 μB/f.u., energy -17.41 eV per formula unit.